A geometry-optimized K2CoAgF6 structure. Source: Alexandria via LeMat-Bulk, functional PBE+U.

Output
* final energy: -4.262 eV/atom
* space group: No. 139
* DOS at the Fermi energy: 0.000 states/eV/cell

POSCAR file:
```
K2CoAgF6
1.0
-1.629 -5.057 2.758
2.719 -3.205 -4.270
7.226 0.129 4.505
K Co Ag F
4 2 2 12
Direct
0.500 0.750 0.250
0.000 0.250 0.750
0.500 0.750 0.750
0.000 0.250 0.250
0.500 0.250 0.500
0.000 0.750 0.000
0.000 0.750 0.500
0.500 0.250 0.000
0.500 0.250 0.279
0.500 0.250 0.721
0.000 0.750 0.221
0.000 0.750 0.779
0.277 0.027 0.500
0.723 0.027 0.500
0.277 0.472 0.500
0.723 0.472 0.500
0.777 0.528 0.000
0.223 0.528 0.000
0.223 0.973 0.000
0.777 0.973 0.000
```